Record 1
A plane-wave DFT calculation with PBE was carried out for an optimized crystal structure of InRe2Ir.

Summary:
Space group: Pmmm (47)
Formation energy: 391 meV per atom
Volume: 65.24 Å³ per cell
VASP energy: -8.733 eV per atom
Energy relative to the lowest polymorph listed for this composition: 260.6 meV per atom

Cell lengths 2.798, 4.110, 5.672 Å; angles 90.00, 90.00, 90.00 degrees
Positions (direct):
In 0.000 0.000 0.000
Re 0.500 0.500 0.280
Re 0.500 0.500 0.720
Ir 0.000 0.000 0.500

Record 2
A plane-wave DFT calculation with PBE was carried out for an optimized crystal structure of InRe2Ir.

Summary:
Space group: Fm-3m (225)
Formation energy: 679 meV per atom
Volume: 257.55 Å³ per cell
VASP energy: -8.445 eV per atom
Energy relative to the lowest polymorph listed for this composition: 549.2 meV per atom

Cell lengths 6.362, 6.362, 6.362 Å; angles 90.00, 90.00, 90.00 degrees
Positions (direct):
In 0.000 0.000 0.000
In 0.000 0.500 0.500
In 0.500 0.000 0.500
In 0.500 0.500 0.000
Re 0.250 0.250 0.250
Re 0.250 0.250 0.750
Re 0.250 0.750 0.250
Re 0.250 0.750 0.750
Re 0.750 0.250 0.250
Re 0.750 0.250 0.750
Re 0.750 0.750 0.250
Re 0.750 0.750 0.750
Ir 0.000 0.000 0.500
Ir 0.000 0.500 0.000
Ir 0.500 0.000 0.000
Ir 0.500 0.500 0.500

Record 3
A plane-wave DFT calculation with PBE was carried out for an optimized crystal structure of InReIr2.

Summary:
Space group: Pmmm (47)
Formation energy: 52 meV per atom
Volume: 63.75 Å³ per cell
VASP energy: -8.176 eV per atom
Energy relative to the lowest polymorph listed for this composition: 153.6 meV per atom

Cell lengths 2.845, 3.857, 5.809 Å; angles 90.00, 90.00, 90.00 degrees
Positions (direct):
In 0.000 0.000 0.000
Re 0.000 0.000 0.500
Ir 0.500 0.500 0.270
Ir 0.500 0.500 0.730

Record 4
A plane-wave DFT calculation with PBE was carried out for an optimized crystal structure of InRe2Ir.

Summary:
Space group: P4/mmm (123)
Formation energy: 354 meV per atom
Volume: 64.35 Å³ per cell
VASP energy: -8.770 eV per atom
Energy relative to the lowest polymorph listed for this composition: 224.0 meV per atom

Cell lengths 2.792, 2.792, 8.255 Å; angles 90.00, 90.00, 90.00 degrees
Positions (direct):
In 0.000 0.000 0.000
Re 0.500 0.500 0.269
Re 0.500 0.500 0.731
Ir 0.000 0.000 0.500

Record 5
A plane-wave DFT calculation with PBE was carried out for an optimized crystal structure of InReIr2.

Summary:
Space group: R3m (160)
Formation energy: 234 meV per atom
Volume: 191.99 Å³ per cell
VASP energy: -7.993 eV per atom
Energy relative to the lowest polymorph listed for this composition: 335.8 meV per atom

Cell lengths 2.853, 2.853, 27.239 Å; angles 90.00, 90.00, 120.00 degrees
Positions (direct):
In 0.000 0.000 0.000
In 0.333 0.667 0.667
In 0.667 0.333 0.333
Re 0.000 0.000 0.756
Re 0.333 0.667 0.423
Re 0.667 0.333 0.090
Ir 0.000 0.000 0.249
Ir 0.000 0.000 0.499
Ir 0.333 0.667 0.166
Ir 0.333 0.667 0.916
Ir 0.667 0.333 0.582
Ir 0.667 0.333 0.832

Record 6
A plane-wave DFT calculation with PBE was carried out for an optimized crystal structure of InReIr2.

Summary:
Space group: Fm-3m (225)
Formation energy: 482 meV per atom
Volume: 259.52 Å³ per cell
VASP energy: -7.745 eV per atom
Energy relative to the lowest polymorph listed for this composition: 584.2 meV per atom

Cell lengths 6.379, 6.379, 6.379 Å; angles 90.00, 90.00, 90.00 degrees
Positions (direct):
In 0.000 0.000 0.000
In 0.000 0.500 0.500
In 0.500 0.000 0.500
In 0.500 0.500 0.000
Re 0.000 0.000 0.500
Re 0.000 0.500 0.000
Re 0.500 0.000 0.000
Re 0.500 0.500 0.500
Ir 0.250 0.250 0.250
Ir 0.250 0.250 0.750
Ir 0.250 0.750 0.250
Ir 0.250 0.750 0.750
Ir 0.750 0.250 0.250
Ir 0.750 0.250 0.750
Ir 0.750 0.750 0.250
Ir 0.750 0.750 0.750